Model 1:
Entry from the Open Quantum Materials Database: an optimized crystal structure of YCuSbMo (GGA-PBE).

Unit cell a=4.8360 b=4.8360 c=4.8360 alpha=60.00 beta=60.00 gamma=60.00
Last column: nearest neighbours and their distance in Å.
Sites, in units of the cell vectors:
Y 0.0000 0.0000 0.0000  4 Mo 2.96, 4 Sb 2.96
Cu 0.5000 0.5000 0.5000  4 Mo 2.96, 4 Sb 2.96
Sb 0.2500 0.2500 0.2500  4 Cu 2.96, 4 Y 2.96
Mo 0.7500 0.7500 0.7500  4 Cu 2.96, 4 Y 2.96

---

Model 2:
Entry from the Open Quantum Materials Database: an optimized crystal structure of YCuSbMo (GGA-PBE).

Unit cell a=4.7491 b=4.7491 c=4.7491 alpha=60.00 beta=60.00 gamma=60.00
Last column: nearest neighbours and their distance in Å.
Sites, in units of the cell vectors:
Y 0.0000 0.0000 0.0000  4 Mo 2.91, 4 Cu 2.91
Cu 0.7500 0.7500 0.7500  4 Sb 2.91, 4 Y 2.91
Sb 0.5000 0.5000 0.5000  4 Mo 2.91, 4 Cu 2.91
Mo 0.2500 0.2500 0.2500  4 Sb 2.91, 4 Y 2.91

---

Looking at the structures above, which would you pick as the most stable? I would pick model 2.